Entry 1:
## AcLa3Pm2As6 (PBE-GGA)

Data for a relaxed structure of AcLa3Pm2As6.

Computed properties:
* DFT formation energy: -1.5298 eV/atom

Cell: 7.5589 7.5589 7.5516 Å, 99.61 99.61 119.99°
With the nearest neighbours (Å) after each atom.
Element x y z (fractional)
Ac1 0.0000 0.0000 0.0000  6 As 3.14
La1 0.1655 0.8345 0.5000  6 As 3.04-3.12
La2 0.5000 0.5000 0.5000  6 As 3.04-3.12
La3 0.8345 0.1655 0.5000  6 As 3.04-3.12
Pm1 0.3329 0.6671 0.0000  6 As 3.05-3.06
Pm2 0.6671 0.3329 0.0000  6 As 3.05-3.06
As1 0.0832 0.4255 0.2494  3 La 3.04-3.12, 2 Pm 3.05, 1 Ac 3.14
As2 0.2594 0.2594 0.7514  3 La 3.04-3.11, 2 Pm 3.06, 1 Ac 3.14
As3 0.4255 0.0832 0.2494  3 La 3.04-3.12, 2 Pm 3.05, 1 Ac 3.14
As4 0.5745 0.9168 0.7506  3 La 3.04-3.12, 2 Pm 3.05, 1 Ac 3.14
As5 0.7406 0.7406 0.2486  3 La 3.04-3.11, 2 Pm 3.06, 1 Ac 3.14
As6 0.9168 0.5745 0.7506  3 La 3.04-3.12, 2 Pm 3.05, 1 Ac 3.14

---

Entry 2:
## TlCoIr (PBE-GGA)

Data for a relaxed structure of TlCoIr.

Computed properties:
* DFT formation energy: 0.5954 eV/atom

Cell: 2.9342 2.9342 6.6503 Å, 90.00 90.00 120.00°
With the nearest neighbours (Å) after each atom.
Element x y z (fractional)
Tl1 0.0000 0.0000 0.0000  3 Co 2.84, 6 Tl 2.93, 3 Ir 2.99
Co1 0.6667 0.3333 0.3433  3 Ir 2.55, 3 Tl 2.84
Ir1 0.3333 0.6667 0.6298  3 Co 2.55

---

Entry 3:
## Nb12Tc2Mo5 (PBE-GGA)

Data for a relaxed structure of Nb12Tc2Mo5.

Computed properties:
* DFT formation energy: 0.5285 eV/atom

Cell: 7.7106 7.7106 8.6595 Å, 96.31 96.31 45.74°
With the nearest neighbours (Å) after each atom.
Element x y z (fractional)
Nb1 0.0233 0.0233 0.2970  2 Mo 2.58-2.71
Nb2 0.0863 0.5608 0.8826  3 Mo 2.59-2.79, 1 Tc 2.60, 1 Nb 2.84
Nb3 0.0957 0.6120 0.4206  4 Mo 2.62-2.82, 2 Nb 2.79-2.90
Nb4 0.3880 0.9043 0.5794  4 Mo 2.62-2.82, 2 Nb 2.79-2.90
Nb5 0.4163 0.4163 0.1854  2 Tc 2.65, 2 Nb 2.79, 1 Mo 2.84
Nb6 0.4392 0.9137 0.1174  3 Mo 2.59-2.79, 1 Tc 2.60, 1 Nb 2.84
Nb7 0.5608 0.0863 0.8826  3 Mo 2.59-2.79, 1 Tc 2.60, 1 Nb 2.84
Nb8 0.5837 0.5837 0.8146  2 Tc 2.65, 2 Nb 2.79, 1 Mo 2.84
Nb9 0.6120 0.0957 0.4206  4 Mo 2.62-2.82, 2 Nb 2.79-2.90
Nb10 0.9043 0.3880 0.5794  4 Mo 2.62-2.82, 2 Nb 2.79-2.90
Nb11 0.9137 0.4392 0.1174  3 Mo 2.59-2.79, 1 Tc 2.60, 1 Nb 2.84
Nb12 0.9767 0.9767 0.7030  2 Mo 2.58-2.71
Tc1 0.2330 0.7670 0.0000  4 Nb 2.60-2.65, 1 Tc 2.79
Tc2 0.7670 0.2330 0.0000  4 Nb 2.60-2.65, 1 Tc 2.79
Mo1 0.1531 0.1531 0.8598  7 Nb 2.71-2.82, 2 Tc 2.96
Mo2 0.2059 0.2059 0.3552  7 Nb 2.58-2.64
Mo3 0.5000 0.5000 0.5000  6 Nb 2.62-2.84
Mo4 0.7941 0.7941 0.6448  7 Nb 2.58-2.64
Mo5 0.8469 0.8469 0.1402  7 Nb 2.71-2.82, 2 Tc 2.96

---

Entry 4:
## AcLa14Y (PBE-GGA)

Data for a relaxed structure of AcLa14Y.

Computed properties:
* DFT formation energy: 0.0304 eV/atom

Cell: 12.1701 7.5259 7.5259 Å, 59.92 90.00 90.00°
With the nearest neighbours (Å) after each atom.
Element x y z (fractional)
Ac1 0.0000 0.0000 0.0000  10 La 3.73-3.80, 2 Y 3.76
La1 0.0000 0.5048 0.9992  8 La 3.70-3.80, 2 Ac 3.73-3.80, 2 Y 3.75-3.78
La2 0.0000 0.9992 0.5048  8 La 3.70-3.80, 2 Ac 3.73-3.80, 2 Y 3.75-3.78
La3 0.2460 0.3340 0.3340  11 La 3.70-3.77, 1 Y 3.71
La4 0.2499 0.3374 0.8333  10 La 3.73-3.80, 1 Y 3.73, 1 Ac 3.75
La5 0.2499 0.8333 0.3374  10 La 3.73-3.80, 1 Y 3.73, 1 Ac 3.75
La6 0.2535 0.8328 0.8328  11 La 3.71-3.80, 1 Ac 3.78
La7 0.5000 0.0014 0.0014  12 La 3.72-3.78
La8 0.5000 0.0043 0.4982  12 La 3.71-3.80
La9 0.5000 0.4982 0.0043  12 La 3.71-3.80
La10 0.5000 0.4993 0.4993  12 La 3.73-3.80
La11 0.7465 0.8328 0.8328  11 La 3.71-3.80, 1 Ac 3.78
La12 0.7501 0.3374 0.8333  10 La 3.73-3.80, 1 Y 3.73, 1 Ac 3.75
La13 0.7501 0.8333 0.3374  10 La 3.73-3.80, 1 Y 3.73, 1 Ac 3.75
La14 0.7540 0.3340 0.3340  11 La 3.70-3.77, 1 Y 3.71
Y1 0.0000 0.5023 0.5023  10 La 3.71-3.78, 2 Ac 3.76

---

Entry 5:
## BaIn (PBE-GGA)

Data for a relaxed structure of BaIn.

Computed properties:
* DFT formation energy: -0.0445 eV/atom

Cell: 5.1282 5.1282 5.1282 Å, 60.00 60.00 60.00°
With the nearest neighbours (Å) after each atom.
Element x y z (fractional)
Ba1 0.0000 0.0000 0.0000  6 In 3.63
In1 0.5000 0.5000 0.5000  6 Ba 3.63

---

Entry 6:
## NpVH2 (PBE-GGA)

Data for a relaxed structure of NpVH2.

Computed properties:
* E: -7.274 eV/atom

Cell: 6.0275 6.0275 6.0275 Å, 26.77 26.77 26.77°
With the nearest neighbours (Å) after each atom.
Element x y z (fractional)
Np1 0.0000 0.0000 0.0000  6 H 2.52, 6 Np 2.79
V1 0.5000 0.5000 0.5000  6 H 1.88
H1 0.2225 0.2225 0.2225  3 V 1.88
H2 0.7775 0.7775 0.7775  3 V 1.88

---

Entry 7:
## Y4Tm3PuS8 (PBE-GGA)

Data for a relaxed structure of Y4Tm3PuS8.

Computed properties:
* ΔE_f (raw): -31.31 eV/f.u.

Cell: 7.7920 7.7920 7.7920 Å, 59.91 59.91 59.91°
With the nearest neighbours (Å) after each atom.
Element x y z (fractional)
Y1 0.0000 0.0000 0.0000  6 S 2.74
Y2 0.0000 0.5000 0.5000  6 S 2.78
Y3 0.5000 0.0000 0.5000  6 S 2.78
Y4 0.5000 0.5000 0.0000  6 S 2.78
Tm1 0.0000 0.0000 0.5000  6 S 2.73
Tm2 0.0000 0.5000 0.0000  6 S 2.73
Tm3 0.5000 0.0000 0.0000  6 S 2.73
Pu1 0.5000 0.5000 0.5000  6 S 2.76
S1 0.2445 0.7508 0.7508  2 Tm 2.73, 3 Y 2.74-2.78, 1 Pu 2.76
S2 0.2475 0.2475 0.2475  3 Tm 2.73, 3 Y 2.78
S3 0.2492 0.2492 0.7555  2 Tm 2.73, 3 Y 2.74-2.78, 1 Pu 2.76
S4 0.2492 0.7555 0.2492  2 Tm 2.73, 3 Y 2.74-2.78, 1 Pu 2.76
S5 0.7508 0.2445 0.7508  2 Tm 2.73, 3 Y 2.74-2.78, 1 Pu 2.76
S6 0.7508 0.7508 0.2445  2 Tm 2.73, 3 Y 2.74-2.78, 1 Pu 2.76
S7 0.7525 0.7525 0.7525  3 Tm 2.73, 3 Y 2.78
S8 0.7555 0.2492 0.2492  2 Tm 2.73, 3 Y 2.74-2.78, 1 Pu 2.76

---

Entry 8:
## La2Zn3Pt12Au (PBE-GGA)

Data for a relaxed structure of La2Zn3Pt12Au.

Computed properties:
* DFT formation energy: -0.2052 eV/atom

Cell: 8.0435 8.0435 8.0435 Å, 60.57 60.57 60.57°
With the nearest neighbours (Å) after each atom.
Element x y z (fractional)
La1 0.1195 0.1195 0.1195  6 Pt 2.78
La2 0.8805 0.8805 0.8805  6 Pt 2.78
Zn1 0.0000 0.5000 0.5000  6 Pt 2.49
Zn2 0.5000 0.0000 0.5000  6 Pt 2.49
Zn3 0.5000 0.5000 0.0000  6 Pt 2.49
Pt1 0.1048 0.6376 0.6376  1 Zn 2.49, 1 Au 2.62, 1 La 2.78
Pt2 0.1239 0.1239 0.6253  2 Zn 2.49, 1 La 2.78
Pt3 0.1239 0.6253 0.1239  2 Zn 2.49, 1 La 2.78
Pt4 0.3624 0.3624 0.8952  1 Zn 2.49, 1 Au 2.62, 1 La 2.78
Pt5 0.3624 0.8952 0.3624  1 Zn 2.49, 1 Au 2.62, 1 La 2.78
Pt6 0.3747 0.8761 0.8761  2 Zn 2.49, 1 La 2.78
Pt7 0.6253 0.1239 0.1239  2 Zn 2.49, 1 La 2.78
Pt8 0.6376 0.1048 0.6376  1 Zn 2.49, 1 Au 2.62, 1 La 2.78
Pt9 0.6376 0.6376 0.1048  1 Zn 2.49, 1 Au 2.62, 1 La 2.78
Pt10 0.8761 0.3747 0.8761  2 Zn 2.49, 1 La 2.78
Pt11 0.8761 0.8761 0.3747  2 Zn 2.49, 1 La 2.78
Pt12 0.8952 0.3624 0.3624  1 Zn 2.49, 1 Au 2.62, 1 La 2.78
Au1 0.5000 0.5000 0.5000  6 Pt 2.62

---

Copy entry 3 word for word.
## Nb12Tc2Mo5 (PBE-GGA)

Data for a relaxed structure of Nb12Tc2Mo5.

Computed properties:
* DFT formation energy: 0.5285 eV/atom

Cell: 7.7106 7.7106 8.6595 Å, 96.31 96.31 45.74°
With the nearest neighbours (Å) after each atom.
Element x y z (fractional)
Nb1 0.0233 0.0233 0.2970  2 Mo 2.58-2.71
Nb2 0.0863 0.5608 0.8826  3 Mo 2.59-2.79, 1 Tc 2.60, 1 Nb 2.84
Nb3 0.0957 0.6120 0.4206  4 Mo 2.62-2.82, 2 Nb 2.79-2.90
Nb4 0.3880 0.9043 0.5794  4 Mo 2.62-2.82, 2 Nb 2.79-2.90
Nb5 0.4163 0.4163 0.1854  2 Tc 2.65, 2 Nb 2.79, 1 Mo 2.84
Nb6 0.4392 0.9137 0.1174  3 Mo 2.59-2.79, 1 Tc 2.60, 1 Nb 2.84
Nb7 0.5608 0.0863 0.8826  3 Mo 2.59-2.79, 1 Tc 2.60, 1 Nb 2.84
Nb8 0.5837 0.5837 0.8146  2 Tc 2.65, 2 Nb 2.79, 1 Mo 2.84
Nb9 0.6120 0.0957 0.4206  4 Mo 2.62-2.82, 2 Nb 2.79-2.90
Nb10 0.9043 0.3880 0.5794  4 Mo 2.62-2.82, 2 Nb 2.79-2.90
Nb11 0.9137 0.4392 0.1174  3 Mo 2.59-2.79, 1 Tc 2.60, 1 Nb 2.84
Nb12 0.9767 0.9767 0.7030  2 Mo 2.58-2.71
Tc1 0.2330 0.7670 0.0000  4 Nb 2.60-2.65, 1 Tc 2.79
Tc2 0.7670 0.2330 0.0000  4 Nb 2.60-2.65, 1 Tc 2.79
Mo1 0.1531 0.1531 0.8598  7 Nb 2.71-2.82, 2 Tc 2.96
Mo2 0.2059 0.2059 0.3552  7 Nb 2.58-2.64
Mo3 0.5000 0.5000 0.5000  6 Nb 2.62-2.84
Mo4 0.7941 0.7941 0.6448  7 Nb 2.58-2.64
Mo5 0.8469 0.8469 0.1402  7 Nb 2.71-2.82, 2 Tc 2.96